[1]
Compound: ReMo3
Source: Alexandria
Functional: PBE
Structure: optimized geometry

M_tot ... 0.000 μB/cell
Symmetry ... Cmcm, No. 63
Formation energy ... 2.381 eV per formula unit
Calculated total energy ... -10.640 eV per atom

Unit cell a=5.307 b=5.307 c=4.760 alpha=90.00 beta=90.00 gamma=94.50
Atoms (fractional coordinates):
1 Re 0.425 0.425 0.250
2 Re 0.575 0.575 0.750
3 Mo 0.932 0.932 0.750
4 Mo 0.068 0.068 0.250
5 Mo 0.053 0.421 0.750
6 Mo 0.947 0.579 0.250
7 Mo 0.421 0.053 0.750
8 Mo 0.579 0.947 0.250


[2]
Compound: ZrPa2Bi
Source: Alexandria
Functional: PBE
Structure: optimized geometry

M_tot ... 0.002 μB/cell
Symmetry ... Fm-3m, No. 225
Formation energy ... 1.119 eV per formula unit
Calculated total energy ... -7.575 eV per atom

Unit cell a=5.308 b=5.308 c=5.308 alpha=60.00 beta=60.00 gamma=60.00
Atoms (fractional coordinates):
1 Pa 0.250 0.250 0.250
2 Pa 0.750 0.750 0.750
3 Bi 0.500 0.500 0.500
4 Zr 0.000 0.000 0.000


[3]
Compound: SrReIrSe2
Source: Alexandria
Functional: PBE
Structure: optimized geometry

Formation energy without anion corrections ... 2441 meV per atom
M_tot ... 1.443 μB/cell
Symmetry ... P4/mmm, No. 123
Calculated total energy ... -3.551 eV per atom

Unit cell a=5.403 b=5.030 c=5.403 alpha=90.00 beta=90.00 gamma=90.00
Site moments in Bohr magnetons follow the coordinates.
Atoms (fractional coordinates):
1 Re 0.500 0.500 0.500  0.03
2 Ir 0.000 0.500 0.000  0.99
3 Se 0.000 0.000 0.500  0.12
4 Se 0.500 0.000 0.000  0.13
5 Sr 0.000 0.000 0.000  0.01


[4]
Compound: PH2F
Source: Alexandria
Functional: PBE
Structure: optimized geometry

M_tot ... 0.000 μB/cell
Symmetry ... P1, No. 1
Calculated total energy ... -4.182 eV per atom

Unit cell a=4.268 b=4.290 c=4.536 alpha=114.07 beta=113.64 gamma=94.93
Atoms (fractional coordinates):
1 P 0.995 0.797 0.936
2 H 0.953 0.433 0.699
3 H 0.632 0.764 0.706
4 F 0.919 0.723 0.235


[5]
Compound: La2PdPbO5
Source: Alexandria
Functional: PBE
Structure: optimized geometry

Formation energy without anion corrections ... -2182 meV per atom
M_tot ... 0.000 μB/cell
Symmetry ... P4/mbm, No. 127
Calculated total energy ... -7.021 eV per atom

Unit cell a=5.900 b=6.909 c=6.909 alpha=90.00 beta=90.00 gamma=90.00
Atoms (fractional coordinates):
1 La 0.500 0.675 0.175
2 La 0.500 0.175 0.325
3 La 0.500 0.825 0.675
4 La 0.500 0.325 0.825
5 Pd 0.000 0.000 0.500
6 Pd 0.000 0.500 0.000
7 Pb 0.000 0.500 0.500
8 Pb 0.000 0.000 0.000
9 O 0.500 0.500 0.500
10 O 0.500 0.000 0.000
11 O 0.246 0.143 0.643
12 O 0.246 0.857 0.357
13 O 0.246 0.357 0.143
14 O 0.246 0.643 0.857
15 O 0.754 0.143 0.643
16 O 0.754 0.643 0.857
17 O 0.754 0.857 0.357
18 O 0.754 0.357 0.143


[6]
Compound: Ba2TlAg
Source: Alexandria
Functional: PBE
Structure: optimized geometry

M_tot ... 0.000 μB/cell
Symmetry ... P4/mmm, No. 123
Formation energy ... -1.226 eV per formula unit
Calculated total energy ... -2.572 eV per atom

Unit cell a=4.224 b=4.224 c=8.380 alpha=90.01 beta=90.00 gamma=90.00
Atoms (fractional coordinates):
1 Ba 0.000 0.000 0.743
2 Ba 0.000 0.000 0.257
3 Tl 0.500 0.500 0.000
4 Ag 0.500 0.500 0.500


[7]
Compound: Mg2NpRh4
Source: Alexandria
Functional: PBE
Structure: optimized geometry

M_tot ... 1.489 μB/cell
Symmetry ... I4/mmm, No. 139
Formation energy ... -2.538 eV per formula unit
Calculated total energy ... -6.868 eV per atom

Unit cell a=4.115 b=4.115 c=7.617 alpha=105.67 beta=105.67 gamma=90.00
Site moments in Bohr magnetons follow the coordinates.
Atoms (fractional coordinates):
1 Mg 0.747 0.747 0.493  0.00
2 Mg 0.253 0.253 0.507  0.00
3 Np 0.000 0.000 0.000  2.22
4 Rh 0.380 0.880 0.761  -0.20
5 Rh 0.880 0.380 0.761  -0.20
6 Rh 0.620 0.120 0.239  -0.20
7 Rh 0.120 0.620 0.239  -0.20


[8]
Compound: Pm3TlIr
Source: Alexandria
Functional: PBE
Structure: optimized geometry

M_tot ... 0.000 μB/cell
Symmetry ... Pm-3m, No. 221
Formation energy ... -1.436 eV per formula unit
Calculated total energy ... -5.383 eV per atom

Unit cell a=5.509 b=5.509 c=5.509 alpha=90.00 beta=90.00 gamma=90.00
Atoms (fractional coordinates):
1 Tl 0.500 0.500 0.500
2 Ir 0.000 0.000 0.000
3 Pm 0.000 0.500 0.000
4 Pm 0.000 0.000 0.500
5 Pm 0.500 0.000 0.000


[9]
Compound: ZrSbP
Source: Alexandria
Functional: PBE
Structure: optimized geometry

Formation energy without anion corrections ... -650 meV per atom
M_tot ... 0.000 μB/cell
Symmetry ... I4mm, No. 107
Calculated total energy ... -6.677 eV per atom

Unit cell a=5.550 b=5.550 c=5.550 alpha=142.94 beta=142.94 gamma=53.42
Atoms (fractional coordinates):
1 Zr 0.636 0.636 0.000
2 Sb 0.328 0.328 0.000
3 P 0.036 0.036 0.000


[10]
Compound: Dy2YO4
Source: Alexandria
Functional: PBE
Structure: optimized geometry

Formation energy without anion corrections ... -3215 meV per atom
M_tot ... 0.000 μB/cell
Symmetry ... C2/m, No. 12
Calculated total energy ... -8.286 eV per atom

Unit cell a=3.435 b=5.871 c=6.398 alpha=119.25 beta=105.57 gamma=90.00
Atoms (fractional coordinates):
1 Dy 0.703 0.703 0.405
2 Dy 0.297 0.297 0.595
3 Y 0.000 0.000 0.000
4 O 0.865 0.159 0.730
5 O 0.135 0.841 0.270
6 O 0.647 0.273 0.293
7 O 0.353 0.727 0.707


[11]
Compound: LiAcPmLu
Source: Alexandria
Functional: PBE
Structure: optimized geometry

M_tot ... 0.002 μB/cell
Symmetry ... F-43m, No. 216
Formation energy ... 0.563 eV per formula unit
Calculated total energy ... -3.683 eV per atom

Unit cell a=5.691 b=5.691 c=5.691 alpha=60.00 beta=60.00 gamma=60.00
Atoms (fractional coordinates):
1 Ac 0.250 0.250 0.250
2 Lu 0.000 0.000 0.000
3 Li 0.500 0.500 0.500
4 Pm 0.750 0.750 0.750


[12]
Compound: CsRbBiO3
Source: Alexandria
Functional: PBE
Structure: optimized geometry

Formation energy without anion corrections ... -1242 meV per atom
M_tot ... 0.000 μB/cell
Symmetry ... C2/c, No. 15
Calculated total energy ... -4.671 eV per atom

Unit cell a=6.419 b=6.842 c=7.549 alpha=63.05 beta=86.25 gamma=81.70
Atoms (fractional coordinates):
1 Cs 0.250 0.243 0.513
2 Cs 0.750 0.757 0.487
3 Rb 0.250 0.584 0.833
4 Rb 0.750 0.416 0.167
5 Bi 0.750 0.055 0.890
6 Bi 0.250 0.945 0.110
7 O 0.494 0.833 0.941
8 O 0.006 0.226 0.941
9 O 0.750 0.212 0.576
10 O 0.506 0.167 0.059
11 O 0.994 0.774 0.059
12 O 0.250 0.788 0.424